Entry 1:
Entry from OQMD: a relaxed structure of Hf3Ga3Co2Ni (PBE).

Unit cell a=6.9100 b=6.9100 c=3.3151 alpha=90.00 beta=90.00 gamma=120.00
Space group P-62m (No. 189)
Unique sites:
Hf1 0.0000 0.5959 0.0000
Ga1 0.0000 0.2638 0.5000
Co1 0.3333 0.6667 0.5000
Ni1 0.0000 0.0000 0.0000

- total moment (μB/atom) = 0.00
- crystal system = hexagonal
- calculated total energy (eV/cell) = -64.16
- volume (Å³/cell) = 137

Entry 2:
Entry from OQMD: a relaxed structure of UWAu (PBE).

Unit cell a=6.446 b=6.446 c=6.446 alpha=90.00 beta=90.00 gamma=90.00
Space group F-43m (No. 216)
Unique sites:
U1 0.000 0.000 0.000
W1 0.250 0.250 0.250
Au1 0.000 0.000 0.500

- total moment (μB/atom) = 0.30
- crystal system = cubic
- calculated total energy (eV/cell) = -99.32
- volume (Å³/cell) = 268

Entry 3:
Entry from OQMD: a relaxed structure of Cs2Hg2O3 (PBE).

Unit cell a=13.269 b=6.704 c=8.555 alpha=90.00 beta=90.00 gamma=90.00
Space group Pnma (No. 62)
Unique sites:
Cs1 0.075 0.250 0.140
Cs2 0.122 0.750 0.458
Hg1 0.146 0.250 0.690
Hg2 0.194 0.750 0.885
O1 0.104 0.250 0.461
O2 0.181 0.049 0.895

- crystal system = orthorhombic
- calculated total energy (eV/cell) = -89.11
- volume (Å³/cell) = 761